Material: La3MgTa
Method: DFT, PBE
State: relaxed

Geometry as extended XYZ:
```
5
Lattice="-0.0855 -4.7968 -3.0524 4.3549 1.9074 -3.1194 3.6554 -2.3846 3.6450" Properties=species:S:1:pos:R:3 pbc="T T T"
Mg 3.9624 -2.6370 -1.2635
La 2.1774 0.9537 -1.5597
La 1.8277 -1.1923 1.8225
La -0.0428 -2.3984 -1.5262
Ta 0.0000 0.0000 0.0000
```

Values from the calculation:
Energy of formation in eV per atom: 0.4554
M_tot in μB/f.u.: 0.0
Excess energy over the best structure of this formula in the dataset in meV per atom: 0
Symmetry: Pm-3m (221)